Here is KINF2 after structural relaxation from Alexandria. Energies are from PBE.

abc: 4.9385 4.9385 4.0241
angles: 90.00 90.00 90.00
Positions (direct):
K 0.0000 0.0000 0.0000
I 0.5000 0.5000 0.5000
N 0.5000 0.5000 0.0000
F 0.0000 0.5000 0.5000
F 0.5000 0.0000 0.5000

Properties
Final energy = -3.5803 eV/atom
Offset from the most stable computed form = 0.000 eV/atom
Total magnetization = 0.00 Bohr magnetons per cell
Raw formation energy = -0.637 eV per atom

---

Here is KINF2 after structural relaxation from Alexandria. Energies are from PBE.

abc: 4.9195 4.9195 5.2641
angles: 90.00 90.00 90.00
Positions (direct):
K 0.0000 0.0000 0.0000
I 0.5000 0.5000 0.5000
N 0.0000 0.0000 0.5000
F 0.0000 0.5000 0.0000
F 0.5000 0.0000 0.0000

Properties
Final energy = -2.7439 eV/atom
Offset from the most stable computed form = 0.836 eV/atom
Total magnetization = 1.00 Bohr magnetons per cell
Raw formation energy = 0.199 eV per atom

---

Here is K2NaIF8 after structural relaxation from Alexandria. Energies are from PBE.

abc: 6.9498 6.9498 6.9498
angles: 129.75 129.75 73.81
Positions (direct):
K 0.0000 0.0000 0.0000
K 0.7500 0.2500 0.5000
Na 0.5000 0.5000 0.0000
I 0.2500 0.7500 0.5000
F 0.1566 0.0763 0.5090
F 0.1566 0.6476 0.0802
F 0.3524 0.4326 0.5090
F 0.3524 0.8434 0.9198
F 0.5674 0.0763 0.9198
F 0.5674 0.6476 0.4910
F 0.9237 0.4326 0.0802
F 0.9237 0.8434 0.4910

Properties
Final energy = -3.8591 eV/atom
Total magnetization = 0.00 Bohr magnetons per cell
Raw formation energy = -2.190 eV per atom

---

Here is K3NbI2F6 after structural relaxation from Alexandria. Energies are from PBE.

abc: 9.3021 9.3021 5.4852
angles: 92.92 92.92 49.92
Positions (direct):
K 0.0000 0.0000 0.0000
K 0.0000 0.5000 0.5000
K 0.5000 0.0000 0.5000
Nb 0.5000 0.5000 0.5000
I 0.1971 0.1971 0.9904
I 0.8029 0.8029 0.0096
F 0.3152 0.6731 0.2568
F 0.3269 0.6848 0.7432
F 0.3838 0.3838 0.5068
F 0.6162 0.6162 0.4932
F 0.6731 0.3152 0.2568
F 0.6848 0.3269 0.7432

Properties
Final energy = -4.8229 eV/atom
Total magnetization = 0.00 Bohr magnetons per cell
Raw formation energy = -2.515 eV per atom

---

Here is K2NpI4F2 after structural relaxation from Alexandria. Energies are from PBE.

abc: 7.7662 7.7662 6.2366
angles: 91.61 91.61 67.02
Positions (direct):
K 0.1500 0.1500 0.2549
K 0.8500 0.8500 0.7451
Np 0.5000 0.5000 0.5000
I 0.1213 0.6390 0.2572
I 0.3610 0.8787 0.7428
I 0.6390 0.1213 0.2572
I 0.8787 0.3610 0.7428
F 0.3873 0.3873 0.7195
F 0.6127 0.6127 0.2805

Properties
Final energy = -4.5939 eV/atom
Total magnetization = 3.00 Bohr magnetons per cell
Raw formation energy = -1.807 eV per atom

---

Here is K7IO2F2 after structural relaxation from Alexandria. Energies are from PBE.

abc: 5.3154 5.3154 13.0372
angles: 101.92 101.92 88.10
Positions (direct):
K 0.0000 0.0000 0.0000
K 0.0726 0.6038 0.2186
K 0.1580 0.1580 0.4181
K 0.3962 0.9274 0.7814
K 0.6038 0.0726 0.2186
K 0.8420 0.8420 0.5819
K 0.9274 0.3962 0.7814
I 0.5000 0.5000 0.0000
O 0.1123 0.1123 0.2167
O 0.8877 0.8877 0.7833
F 0.1987 0.1987 0.6223
F 0.8013 0.8013 0.3777

Properties
Final energy = -3.5149 eV/atom
Total magnetization = 0.00 Bohr magnetons per cell
Raw formation energy = -1.607 eV per atom

---

Here is K6I2OF after structural relaxation from Alexandria. Energies are from PBE.

abc: 7.8442 7.8442 6.9772
angles: 90.00 90.00 120.00
Positions (direct):
K 0.1483 0.2966 0.2671
K 0.1483 0.8517 0.2671
K 0.2966 0.1483 0.7329
K 0.7034 0.8517 0.2671
K 0.8517 0.1483 0.7329
K 0.8517 0.7034 0.7329
I 0.3333 0.6667 0.6768
I 0.6667 0.3333 0.3232
O 0.0000 0.0000 0.5000
F 0.0000 0.0000 0.0000

Properties
Final energy = -3.0543 eV/atom
Total magnetization = 0.00 Bohr magnetons per cell
Raw formation energy = -1.403 eV per atom

---

Here is K5I2OF after structural relaxation from Alexandria. Energies are from PBE.

abc: 9.5203 9.5203 9.5203
angles: 148.85 133.73 56.83
Positions (direct):
K 0.0000 0.0000 0.0000
K 0.1385 0.3905 0.7480
K 0.3575 0.6095 0.7480
K 0.6425 0.3905 0.2520
K 0.8615 0.6095 0.2520
I 0.2109 0.2109 0.0000
I 0.7891 0.7891 0.0000
O 0.0000 0.5000 0.5000
F 0.5000 0.0000 0.5000

Properties
Final energy = -3.1857 eV/atom
Total magnetization = 0.00 Bohr magnetons per cell
Raw formation energy = -1.473 eV per atom

---

Here is K9I3O2F after structural relaxation from Alexandria. Energies are from PBE.

abc: 7.7621 7.7621 9.5155
angles: 90.00 90.00 120.00
Positions (direct):
K 0.0000 0.5000 0.0000
K 0.1730 0.3460 0.3241
K 0.1730 0.8270 0.3241
K 0.3460 0.1730 0.6759
K 0.5000 0.0000 0.0000
K 0.5000 0.5000 0.0000
K 0.6540 0.8270 0.3241
K 0.8270 0.1730 0.6759
K 0.8270 0.6540 0.6759
I 0.0000 0.0000 0.0000
I 0.3333 0.6667 0.6617
I 0.6667 0.3333 0.3383
O 0.3333 0.6667 0.1696
O 0.6667 0.3333 0.8304
F 0.0000 0.0000 0.5000

Properties
Final energy = -3.1020 eV/atom
Total magnetization = 0.00 Bohr magnetons per cell
Raw formation energy = -1.348 eV per atom

---

Here is KIO2F2 after structural relaxation from Alexandria. Energies are from PBE.

abc: 8.6042 5.8438 8.8011
angles: 90.00 90.00 90.00
Positions (direct):
K 0.2018 0.0248 0.0000
K 0.2982 0.0248 0.5000
K 0.7018 0.9752 0.0000
K 0.7982 0.9752 0.5000
I 0.0221 0.4941 0.7666
I 0.4779 0.4941 0.2666
I 0.5221 0.5059 0.7666
I 0.9779 0.5059 0.2666
O 0.0301 0.6108 0.9564
O 0.2105 0.3580 0.7504
O 0.2895 0.3580 0.2504
O 0.4699 0.6108 0.4564
O 0.5301 0.3892 0.9564
O 0.7105 0.6420 0.7504
O 0.7895 0.6420 0.2504
O 0.9699 0.3892 0.4564
F 0.0693 0.8117 0.3410
F 0.0976 0.8006 0.6814
F 0.4024 0.8006 0.1814
F 0.4307 0.8117 0.8410
F 0.5693 0.1883 0.3410
F 0.5976 0.1994 0.6814
F 0.9024 0.1994 0.1814
F 0.9307 0.1883 0.8410

Properties
Final energy = -4.1916 eV/atom
Total magnetization = 0.00 Bohr magnetons per cell
Raw formation energy = -1.474 eV per atom

---

Here is KIO3F after structural relaxation from Alexandria. Energies are from PBE.

abc: 8.4614 8.4614 6.3586
angles: 94.72 94.72 147.93
Positions (direct):
K 0.2178 0.7822 0.7500
K 0.7822 0.2178 0.2500
I 0.4886 0.5114 0.2500
I 0.5114 0.4886 0.7500
O 0.2116 0.2152 0.4337
O 0.2152 0.2116 0.9337
O 0.3793 0.6207 0.2500
O 0.6207 0.3793 0.7500
O 0.7848 0.7884 0.0663
O 0.7884 0.7848 0.5663
F 0.2050 0.7950 0.2500
F 0.7950 0.2050 0.7500

Properties
Final energy = -3.9466 eV/atom
Total magnetization = 0.41 Bohr magnetons per cell
Raw formation energy = -0.714 eV per atom

---

Here is KPaI2F6 after structural relaxation from Alexandria. Energies are from PBE.

abc: 7.0734 7.0680 7.0571
angles: 60.10 60.03 59.87
Positions (direct):
K 0.0000 0.0000 0.0000
Pa 0.5000 0.5000 0.5000
I 0.2500 0.2500 0.2500
I 0.7500 0.7500 0.7500
F 0.2875 0.7125 0.2875
F 0.2871 0.7129 0.7129
F 0.2882 0.2882 0.7118
F 0.7118 0.7118 0.2882
F 0.7129 0.2871 0.2871
F 0.7125 0.2875 0.7125

Properties
Final energy = -5.1404 eV/atom
Total magnetization = 2.00 Bohr magnetons per cell
Raw formation energy = -2.648 eV per atom